Entry 1:
Computed, not measured: crystalline InBiTeN2 at its relaxed geometry at the PBE-GGA level of DFT.

POSCAR file:
```
InBiTeN2
1.0
-1.3156 3.9248 1.5781
-3.8598 -1.7900 1.2340
2.3251 -1.3548 5.3078
N In Bi Te
2 1 1 1
Direct
0.5000 0.0000 0.0000 N
0.0000 0.5000 0.0000 N
0.0000 0.0000 0.0000 In
0.5000 0.5000 0.5000 Bi
0.0000 0.0000 0.5000 Te
```

Results
Size of the total moment, Bohr magnetons per cell: 2.2
Uncorrected energy, eV per cell: -19.7
Excess energy over the best structure of this formula in the dataset, meV/atom: 19


Entry 2:
Computed, not measured: crystalline InBi2WN at its relaxed geometry at the PBE-GGA level of DFT.

POSCAR file:
```
InBi2WN
1.0
-5.0414 -1.1502 2.8305
0.4499 -3.7414 -0.7191
2.9760 -0.6130 5.0515
W Bi In N
1 2 1 1
Direct
0.5000 0.5000 0.5000 W
0.0000 0.0000 0.5000 Bi
0.5000 0.0000 0.0000 Bi
0.0000 0.0000 0.0000 In
0.0000 0.5000 0.0000 N
```

Results
Size of the total moment, Bohr magnetons per cell: 3.6
Uncorrected energy, eV per cell: -22.6


Entry 3:
Computed, not measured: crystalline Y4InBiN at its relaxed geometry at the PBE-GGA level of DFT.

POSCAR file:
```
Y4InBiN
1.0
6.7037 0.0000 0.0000
0.0000 6.7084 0.0000
-3.3518 0.0000 8.0521
Y Bi N In
8 2 2 2
Direct
0.0000 0.5000 0.5000 Y
0.4054 0.7500 0.8107 Y
0.0000 0.0000 0.5000 Y
0.5000 0.0000 0.5000 Y
0.0899 0.7500 0.1798 Y
0.5946 0.2500 0.1893 Y
0.5000 0.5000 0.5000 Y
0.9101 0.2500 0.8202 Y
0.6048 0.7500 0.2096 Bi
0.3952 0.2500 0.7904 Bi
0.7517 0.2500 0.5035 N
0.2483 0.7500 0.4965 N
0.8908 0.7500 0.7815 In
0.1092 0.2500 0.2185 In
```

Results
Size of the total moment, Bohr magnetons per cell: 0.0
Uncorrected energy, eV per cell: -94.1


Entry 4:
Computed, not measured: crystalline NaIn2Bi at its relaxed geometry at the PBE-GGA level of DFT.

POSCAR file:
```
NaIn2Bi
1.0
-2.8575 -1.8385 -6.6049
3.7982 -3.3062 5.4601
-0.4479 1.0713 7.3363
In Na Bi
2 1 1
Direct
0.0000 0.2716 0.2716 In
0.0000 0.7284 0.7284 In
0.0000 0.0000 0.0000 Na
0.0000 0.5000 0.5000 Bi
```

Results
Energy of formation, meV/atom: -54.6
Size of the total moment, Bohr magnetons per cell: 0.0
Uncorrected energy, eV per cell: -10.9


> Number 4 is which compound?

NaIn2Bi


> Which formula does entry 3 have?

Y4InBiN


> Look up the uncorrected energy of the first one.

-19.7 eV per cell